No. 1
## LiCd4PS3 (PBE-GGA)

Data for a relaxed structure of LiCd4PS3.

Computed properties:
**Crystal system**: cubic

abc: 6.2195 6.2195 6.2195
angles: 90.00 90.00 90.00
With the nearest neighbours (Å) after each atom.
Space group P-43m (No. 215)
One atom of each set of equivalent atoms:
Li 0.0000 0.0000 0.0000 (multiplicity 1)  4 Cd 2.76
Cd 0.2561 0.2561 0.2561 (multiplicity 4)  1 P 2.63, 3 S 2.67, 1 Li 2.76
P 0.5000 0.5000 0.5000 (multiplicity 1)  4 Cd 2.63
S 0.0000 0.5000 0.5000 (multiplicity 3)  4 Cd 2.67

No. 2
## Li2Cd2Pb (PBE-GGA)

Data for a relaxed structure of Li2Cd2Pb.

Computed properties:
**Crystal system**: tetragonal

abc: 4.2459 4.2459 11.7635
angles: 90.00 90.00 90.00
With the nearest neighbours (Å) after each atom.
Space group I4/mmm (No. 139)
One atom of each set of equivalent atoms:
Li 0.0000 0.0000 0.1020 (multiplicity 4)  1 Li 2.40
Cd 0.0000 0.5000 0.2500 (multiplicity 4)  4 Li 2.75, 4 Cd 3.00
Pb 0.0000 0.0000 0.5000 (multiplicity 2)  8 Li 3.23

No. 3
## Li6CdPb (PBE-GGA)

Data for a relaxed structure of Li6CdPb.

Computed properties:
**Crystal system**: tetragonal

abc: 4.5908 4.5908 6.4579
angles: 90.00 90.00 90.00
With the nearest neighbours (Å) after each atom.
Space group P4/mmm (No. 123)
One atom of each set of equivalent atoms:
Li 0.0000 0.0000 0.0000 (multiplicity 1)  8 Li 2.81
Li 0.0000 0.5000 0.2497 (multiplicity 4)  2 Pb 2.81, 4 Li 2.81, 2 Cd 2.81
Li 0.5000 0.5000 0.5000 (multiplicity 1)  8 Li 2.81
Cd 0.0000 0.0000 0.5000 (multiplicity 1)  8 Li 2.81
Pb 0.5000 0.5000 0.0000 (multiplicity 1)  8 Li 2.81

| no. | uncorrected energy (eV/cell) |
| --- | --- |
| 1 | -21.9 |
| 2 | -19.2 |
| 3 | -18.0 |